DFT (GGA-PBE) results for a relaxed ScCuSnTe3 crystal.

Cell and atoms, written as POSCAR:
```
ScCuSnTe3
1.0
8.077 0.000 0.000
0.000 4.148 0.000
-3.022 0.000 9.870
Sc Cu Te Sn
2 2 6 2
direct
0.207 0.250 0.675
0.793 0.750 0.325
0.580 0.250 0.089
0.420 0.750 0.911
0.452 0.750 0.664
0.767 0.750 0.041
0.233 0.250 0.959
0.069 0.250 0.372
0.931 0.750 0.628
0.548 0.250 0.336
0.773 0.250 0.793
0.227 0.750 0.207
```

Values from the calculation:
E ... -53.9 eV per cell
Theoretical density ... 6.13 Mg/m³